(1)
A plane-wave DFT calculation with PBE-GGA was carried out for an optimized crystal structure of KRb2BiAu.

Calculated values
symmetry	P4/mmm
formation energy from the elements	-0.168	eV per atom
DFT total energy	-11.0	eV for the cell shown

Geometry as extended XYZ:
```
5
Lattice="-5.4320 -1.8542 3.5071 2.7812 -6.0204 1.1247 2.3373 1.9485 4.6503" Properties=species:S:1:pos:R:3 pbc="T T T"
Au 0.0000 0.0000 0.0000
K -0.1568 -2.9631 4.6410
Rb -2.7160 -0.9271 1.7535
Rb 1.3906 -3.0102 0.5623
Bi 1.1687 0.9742 2.3252
```

(2)
A plane-wave DFT calculation with PBE-GGA was carried out for an optimized crystal structure of KCd2InRh.

Calculated values
symmetry	P4/mmm
formation energy from the elements	-0.189	eV per atom
DFT total energy	-14.0	eV for the cell shown

Geometry as extended XYZ:
```
5
Lattice="5.3162 0.0000 0.0000 0.0000 5.3162 0.0000 0.0000 0.0000 5.1360" Properties=species:S:1:pos:R:3 pbc="T T T"
Cd 2.6581 0.0000 0.0000
Cd 0.0000 2.6581 0.0000
K 2.6581 2.6581 2.5680
In 0.0000 0.0000 2.5680
Rh 0.0000 0.0000 0.0000
```

(3)
A plane-wave DFT calculation with PBE-GGA was carried out for an optimized crystal structure of AcDyGe4.

Calculated values
energy above the lowest structure with this stoichiometry	242	meV/atom
symmetry	F-43m
formation energy from the elements	-0.314	eV per atom
DFT total energy	-29.1	eV for the cell shown

Geometry as extended XYZ:
```
6
Lattice="-5.1245 -2.6318 -0.7431 -0.7193 -3.7809 -4.3504 -0.5456 -5.6694 1.1398" Properties=species:S:1:pos:R:3 pbc="T T T"
Ge -1.5011 -6.2278 -2.0947
Ge -3.9617 -7.4915 -2.4515
Ge -3.6163 -5.6760 -0.3626
Ge -3.6997 -4.7692 -2.9988
Ac 0.0000 0.0000 0.0000
Dy -1.5974 -3.0205 -0.9884
```

What did the third record say?
A plane-wave DFT calculation with PBE-GGA was carried out for an optimized crystal structure of AcDyGe4.

Calculated values
energy above the lowest structure with this stoichiometry	242	meV/atom
symmetry	F-43m
formation energy from the elements	-0.314	eV per atom
DFT total energy	-29.1	eV for the cell shown

Geometry as extended XYZ:
```
6
Lattice="-5.1245 -2.6318 -0.7431 -0.7193 -3.7809 -4.3504 -0.5456 -5.6694 1.1398" Properties=species:S:1:pos:R:3 pbc="T T T"
Ge -1.5011 -6.2278 -2.0947
Ge -3.9617 -7.4915 -2.4515
Ge -3.6163 -5.6760 -0.3626
Ge -3.6997 -4.7692 -2.9988
Ac 0.0000 0.0000 0.0000
Dy -1.5974 -3.0205 -0.9884
```

Question: Look up the formation energy from the elements of the first one.
Answer: -0.168 eV per atom